Compound: NaRePtPb2
Source: the Alexandria database
Functional: PBE-GGA
Structure: optimized geometry

Cell: 5.6028 5.6028 4.8877 Å, 90.00 90.00 90.00°
Last column: nearest neighbours and their distance in Å.
Positions (direct):
Na 0.0000 0.0000 0.0000  8 Pb 3.72, 4 Re 3.96
Re 0.5000 0.5000 0.0000  2 Pt 2.44
Pt 0.5000 0.5000 0.5000  2 Re 2.44
Pb 0.0000 0.5000 0.5000  2 Pt 2.80
Pb 0.5000 0.0000 0.5000  2 Pt 2.80

Output
As for the formation enthalpy at 0 K: 998 meV/atom. As for the space-group type: No. 123. The calculation puts the electronic total energy at -4.4464 eV/atom.

***

Compound: TiVTe2
Source: the Alexandria database
Functional: PBE-GGA
Structure: optimized geometry

Cell: 8.4444 6.5266 8.5247 Å, 90.00 116.25 90.00°
Last column: nearest neighbours and their distance in Å.
Positions (direct):
Ti 0.0239 0.0418 0.3041  2 V 2.63-2.88, 5 Te 2.81-2.92
Ti 0.0239 0.4582 0.8041  2 V 2.63-2.88, 5 Te 2.81-2.92
Ti 0.9761 0.5418 0.1959  2 V 2.63-2.88, 5 Te 2.81-2.92
Ti 0.9761 0.9582 0.6959  2 V 2.63-2.88, 5 Te 2.81-2.92
V 0.1148 0.6237 0.5751  1 V 2.41, 1 Ti 2.63, 3 Te 2.65-2.69
V 0.1148 0.8763 0.0751  1 V 2.41, 1 Ti 2.63, 3 Te 2.65-2.69
V 0.8852 0.1237 0.9249  1 V 2.41, 1 Ti 2.63, 3 Te 2.65-2.69
V 0.8852 0.3763 0.4249  1 V 2.41, 1 Ti 2.63, 3 Te 2.65-2.69
Te 0.2074 0.2267 0.6413  2 V 2.69-2.71, 3 Ti 2.81-2.92
Te 0.2074 0.2733 0.1413  2 V 2.69-2.71, 3 Ti 2.81-2.92
Te 0.2962 0.7420 0.4046  2 V 2.65-2.68, 2 Ti 2.82-2.85
Te 0.2962 0.7580 0.9046  2 V 2.65-2.68, 2 Ti 2.82-2.85
Te 0.7038 0.2420 0.0954  2 V 2.65-2.68, 2 Ti 2.82-2.85
Te 0.7038 0.2580 0.5954  2 V 2.65-2.68, 2 Ti 2.82-2.85
Te 0.7926 0.7267 0.8587  2 V 2.69-2.71, 3 Ti 2.81-2.92
Te 0.7926 0.7733 0.3587  2 V 2.69-2.71, 3 Ti 2.81-2.92

Output
As for the energy relative to the elements, uncorrected: -1.722 eV/f.u. As for the space-group type: No. 14. The calculation puts the electronic total energy at -6.2547 eV/atom. The value obtained for the relative energy among the computed polymorphs is 0.000 eV/atom.

***

Compound: LiAlPdF6
Source: the Alexandria database
Functional: PBE-GGA
Structure: optimized geometry

Cell: 5.0710 5.0710 9.2369 Å, 90.00 90.00 120.00°
Last column: nearest neighbours and their distance in Å.
Positions (direct):
Li 0.3333 0.6667 0.2500  6 F 2.03
Li 0.6667 0.3333 0.7500  6 F 2.03
Al 0.3333 0.6667 0.7500  6 F 1.83
Al 0.6667 0.3333 0.2500  6 F 1.83
Pd 0.0000 0.0000 0.0000  6 F 2.23
Pd 0.0000 0.0000 0.5000  6 F 2.23
F 0.0292 0.3724 0.8610  1 Al 1.83, 1 Li 2.03
F 0.0292 0.6568 0.6390  1 Al 1.83, 1 Li 2.03
F 0.3432 0.3724 0.6390  1 Al 1.83, 1 Li 2.03
F 0.3432 0.9708 0.8610  1 Al 1.83, 1 Li 2.03
F 0.3724 0.0292 0.3610  1 Al 1.83, 1 Li 2.03
F 0.3724 0.3432 0.1390  1 Al 1.83, 1 Li 2.03
F 0.6276 0.6568 0.8610  1 Al 1.83, 1 Li 2.03
F 0.6276 0.9708 0.6390  1 Al 1.83, 1 Li 2.03
F 0.6568 0.0292 0.1390  1 Al 1.83, 1 Li 2.03
F 0.6568 0.6276 0.3610  1 Al 1.83, 1 Li 2.03
F 0.9708 0.3432 0.3610  1 Al 1.83, 1 Li 2.03
F 0.9708 0.6276 0.1390  1 Al 1.83, 1 Li 2.03

Output
As for the energy relative to the elements, uncorrected: -23.393 eV/f.u. As for the space-group type: No. 163. The calculation puts the electronic total energy at -5.0522 eV/atom. The value obtained for the relative energy among the computed polymorphs is 0.000 eV/atom.

***

Compound: La2PmNd2Ho
Source: the Alexandria database
Functional: PBE-GGA
Structure: optimized geometry

Cell: 7.1642 5.8054 10.0336 Å, 90.00 90.00 90.00°
Last column: nearest neighbours and their distance in Å.
Positions (direct):
La 0.0000 0.0000 0.0000  6 La 3.58-3.84, 6 Nd 3.79, 2 Pm 3.86
La 0.2500 0.5000 0.1755  5 Nd 3.31-3.58
La 0.5000 0.0000 0.0000  6 La 3.58-3.84, 6 Nd 3.79, 2 Pm 3.86
La 0.7500 0.5000 0.8245  5 Nd 3.31-3.58
Pm 0.2500 0.0000 0.6590  5 Nd 3.27-3.58
Pm 0.7500 0.0000 0.3410  5 Nd 3.27-3.58
Nd 0.2500 0.0000 0.3330  3 Pm 3.27-3.58, 2 La 3.31
Nd 0.2500 0.5000 0.8349  2 Pm 3.40, 7 La 3.42-3.79
Nd 0.7500 0.0000 0.6670  3 Pm 3.27-3.58, 2 La 3.31
Nd 0.7500 0.5000 0.1651  2 Pm 3.40, 7 La 3.42-3.79
Ho 0.0000 0.5000 0.5000  2 Ho 3.58, 2 La 3.72, 4 Pm 3.77, 6 Nd 3.80-3.81
Ho 0.5000 0.5000 0.5000  2 Ho 3.58, 2 La 3.72, 4 Pm 3.77, 6 Nd 3.80-3.81

Output
As for the formation enthalpy at 0 K: 50 meV/atom. As for the space-group type: No. 51. The calculation puts the electronic total energy at -4.7365 eV/atom.

***

Compound: NaZnC2O6
Source: the Alexandria database
Functional: PBE-GGA
Structure: optimized geometry

Cell: 6.2390 6.2390 6.2390 Å, 45.59 45.59 45.59°
Last column: nearest neighbours and their distance in Å.
Positions (direct):
Na 0.0000 0.0000 0.0000  6 O 2.43
Zn 0.5000 0.5000 0.5000  6 O 2.12
C 0.2396 0.2396 0.2396  3 O 1.29
C 0.7604 0.7604 0.7604  3 O 1.29
O 0.0372 0.5051 0.7356  1 C 1.29
O 0.2644 0.9628 0.4949  1 C 1.29
O 0.4949 0.2644 0.9628  1 C 1.29
O 0.5051 0.7356 0.0372  1 C 1.29
O 0.7356 0.0372 0.5051  1 C 1.29
O 0.9628 0.4949 0.2644  1 C 1.29

Output
As for the energy relative to the elements, uncorrected: -13.857 eV/f.u. As for the space-group type: No. 148. The calculation puts the electronic total energy at -6.4647 eV/atom.

***

Compound: KPrAg2F8
Source: the Alexandria database
Functional: PBE-GGA
Structure: optimized geometry

Cell: 6.7807 6.7807 6.7807 Å, 126.40 126.40 79.23°
Last column: nearest neighbours and their distance in Å.
Positions (direct):
K 0.0000 0.0000 0.0000  8 F 2.69-2.75
Pr 0.7500 0.2500 0.5000  8 F 2.39-2.44
Ag 0.2500 0.7500 0.5000  4 F 2.13
Ag 0.5000 0.5000 0.0000  4 F 2.13
F 0.0362 0.0047 0.6199  1 Ag 2.13
F 0.1299 0.3391 0.5724  1 Ag 2.13
F 0.3848 0.4163 0.3801  1 Ag 2.13
F 0.4425 0.8701 0.2093  1 Ag 2.13
F 0.5837 0.9638 0.9685  1 Ag 2.13
F 0.6609 0.2332 0.7907  1 Ag 2.13
F 0.7668 0.5575 0.4276  1 Ag 2.13
F 0.9953 0.6152 0.0315  1 Ag 2.13

Output
As for the energy relative to the elements, uncorrected: -28.093 eV/f.u. As for the space-group type: No. 82. The calculation puts the electronic total energy at -4.5536 eV/atom.

***

Compound: HfBe2Rh3
Source: the Alexandria database
Functional: PBE-GGA
Structure: optimized geometry

Cell: 4.2200 4.2200 10.3229 Å, 90.00 90.00 120.00°
Last column: nearest neighbours and their distance in Å.
Positions (direct):
Hf 0.3333 0.6667 0.1780  8 Rh 2.61-2.70
Hf 0.6667 0.3333 0.8220  8 Rh 2.61-2.70
Be 0.0000 0.0000 0.0000  8 Rh 2.58-2.82
Be 0.0000 0.0000 0.5000  8 Rh 2.34-2.54
Be 0.3333 0.6667 0.6569  7 Rh 2.34-2.60
Be 0.6667 0.3333 0.3431  7 Rh 2.34-2.60
Rh 0.0000 0.0000 0.2730  4 Be 2.34-2.54
Rh 0.0000 0.0000 0.7270  4 Be 2.34-2.54
Rh 0.3333 0.6667 0.4304  7 Be 2.34-2.60, 1 Hf 2.61
Rh 0.3333 0.6667 0.9166  4 Be 2.58-2.68, 4 Hf 2.62-2.70
Rh 0.6667 0.3333 0.0834  4 Be 2.58-2.68, 4 Hf 2.62-2.70
Rh 0.6667 0.3333 0.5696  7 Be 2.34-2.60, 1 Hf 2.61

Output
As for the formation enthalpy at 0 K: -701 meV/atom. As for the space-group type: No. 164. The calculation puts the electronic total energy at -7.2777 eV/atom.

***

Compound: GaGeI2
Source: the Alexandria database
Functional: PBE-GGA
Structure: optimized geometry

Cell: 7.7397 7.7397 7.7397 Å, 90.00 90.00 90.00°
Last column: nearest neighbours and their distance in Å.
Positions (direct):
Ga 0.0000 0.0000 0.0000  8 I 3.35
Ga 0.0000 0.5000 0.5000  8 I 3.35
Ga 0.5000 0.0000 0.5000  8 I 3.35
Ga 0.5000 0.5000 0.0000  8 I 3.35
Ge 0.0000 0.0000 0.5000  8 I 3.35
Ge 0.0000 0.5000 0.0000  8 I 3.35
Ge 0.5000 0.0000 0.0000  8 I 3.35
Ge 0.5000 0.5000 0.5000  8 I 3.35
I 0.2500 0.2500 0.2500  4 Ga 3.35, 4 Ge 3.35
I 0.2500 0.2500 0.7500  4 Ge 3.35, 4 Ga 3.35
I 0.2500 0.7500 0.2500  4 Ge 3.35, 4 Ga 3.35
I 0.2500 0.7500 0.7500  4 Ge 3.35, 4 Ga 3.35
I 0.7500 0.2500 0.2500  4 Ge 3.35, 4 Ga 3.35
I 0.7500 0.2500 0.7500  4 Ge 3.35, 4 Ga 3.35
I 0.7500 0.7500 0.2500  4 Ge 3.35, 4 Ga 3.35
I 0.7500 0.7500 0.7500  4 Ge 3.35, 4 Ga 3.35

Output
As for the energy relative to the elements, uncorrected: 0.479 eV/f.u. As for the space-group type: No. 225. The calculation puts the electronic total energy at -2.5663 eV/atom. The value obtained for the relative energy among the computed polymorphs is 0.072 eV/atom.

***

Compound: Ac2PmTmSb4
Source: the Alexandria database
Functional: PBE-GGA
Structure: optimized geometry

Cell: 7.9795 4.6131 7.9852 Å, 90.00 109.50 90.00°
Last column: nearest neighbours and their distance in Å.
Positions (direct):
Ac 0.0000 0.0000 0.0000  6 Sb 3.33
Ac 0.0000 0.5000 0.5000  6 Sb 3.38
Pm 0.5000 0.0000 0.5000  6 Sb 3.19
Tm 0.5000 0.5000 0.0000  6 Sb 3.14-3.15
Sb 0.2700 0.5000 0.2520  1 Tm 3.14, 2 Pm 3.19, 3 Ac 3.33-3.38
Sb 0.2732 0.0000 0.7623  2 Tm 3.15, 1 Pm 3.19, 3 Ac 3.33-3.38
Sb 0.7268 0.0000 0.2377  2 Tm 3.15, 1 Pm 3.19, 3 Ac 3.33-3.38
Sb 0.7300 0.5000 0.7480  1 Tm 3.14, 2 Pm 3.19, 3 Ac 3.33-3.38

Output
As for the energy relative to the elements, uncorrected: -9.185 eV/f.u. As for the space-group type: No. 10. The calculation puts the electronic total energy at -5.3892 eV/atom.

***

Compound: BePb
Source: the Alexandria database
Functional: PBE-GGA
Structure: optimized geometry

Cell: 3.9592 11.9108 5.6531 Å, 90.00 90.00 90.00°
Last column: nearest neighbours and their distance in Å.
Positions (direct):
Be 0.2500 0.0376 0.0374  2 Be 2.21
Be 0.2500 0.4624 0.0374  2 Be 2.21
Be 0.2500 0.7500 0.3979  4 Pb 2.49-2.61
Be 0.7500 0.2500 0.6021  4 Pb 2.49-2.61
Be 0.7500 0.5376 0.9626  2 Be 2.21
Be 0.7500 0.9624 0.9626  2 Be 2.21
Pb 0.2500 0.2500 0.9044  4 Be 2.61-2.64
Pb 0.2500 0.5901 0.6809  4 Be 2.49-2.62
Pb 0.2500 0.9099 0.6809  4 Be 2.49-2.62
Pb 0.7500 0.0901 0.3191  4 Be 2.49-2.62
Pb 0.7500 0.4099 0.3191  4 Be 2.49-2.62
Pb 0.7500 0.7500 0.0956  4 Be 2.61-2.64

Output
As for the formation enthalpy at 0 K: 594 meV/atom. As for the space-group type: No. 59. The calculation puts the electronic total energy at -3.1237 eV/atom. The value obtained for the relative energy among the computed polymorphs is 0.290 eV/atom.

***

Compound: BeFe3W
Source: the Alexandria database
Functional: PBE-GGA
Structure: optimized geometry

Cell: 3.8085 3.8085 3.8085 Å, 90.00 90.00 90.00°
Last column: nearest neighbours and their distance in Å.
Positions (direct):
Be 0.0000 0.0000 0.0000  6 Fe 1.90
Fe 0.0000 0.0000 0.5000  2 Be 1.90
Fe 0.0000 0.5000 0.0000  2 Be 1.90
Fe 0.5000 0.0000 0.0000  2 Be 1.90
W 0.5000 0.5000 0.5000  12 Fe 2.69

Output
As for the formation enthalpy at 0 K: 442 meV/atom. As for the space-group type: No. 221. The calculation puts the electronic total energy at -7.9712 eV/atom. The value obtained for the relative energy among the computed polymorphs is 0.000 eV/atom.

***

Compound: NdZn10Cd
Source: the Alexandria database
Functional: PBE-GGA
Structure: optimized geometry

Cell: 4.3196 5.2397 9.3114 Å, 90.00 90.00 90.00°
Last column: nearest neighbours and their distance in Å.
Positions (direct):
Nd 0.0000 0.0000 0.0000  18 Zn 3.18-3.40
Zn 0.0000 0.0000 0.3452  7 Zn 2.60-2.88
Zn 0.0000 0.0000 0.6548  7 Zn 2.60-2.88
Zn 0.0000 0.5000 0.1932  6 Zn 2.59-2.81, 1 Cd 2.86
Zn 0.0000 0.5000 0.8068  6 Zn 2.59-2.81, 1 Cd 2.86
Zn 0.5000 0.0000 0.5000  8 Zn 2.60-2.75
Zn 0.5000 0.2401 0.2377  8 Zn 2.52-2.75
Zn 0.5000 0.2401 0.7623  8 Zn 2.52-2.75
Zn 0.5000 0.5000 0.0000  8 Zn 2.60-2.81
Zn 0.5000 0.7599 0.2377  8 Zn 2.52-2.75
Zn 0.5000 0.7599 0.7623  8 Zn 2.52-2.75
Cd 0.0000 0.5000 0.5000  6 Zn 2.86-2.99

Output
As for the formation enthalpy at 0 K: -123 meV/atom. As for the space-group type: No. 47. The calculation puts the electronic total energy at -1.6581 eV/atom.